# 1
# VFeSi2

A relaxed structure of VFeSi2 (PBE, Alexandria).

a b c (Å): 3.595 3.595 8.830
angles (deg): 78.25 78.25 90.00
Fractional positions:
Fe 0.750 0.250 0.500
V 0.500 0.500 0.000
Si 0.875 0.880 0.750
Fe 0.000 0.000 0.000
V 0.250 0.750 0.500
Si 0.120 0.625 0.250
Si 0.630 0.125 0.250
Si 0.375 0.370 0.750

The calculation puts the magnetization at 2.99 μB per cell. The density comes out at 4.95 g/cm3. The crystal system is tetragonal. The calculation puts the total energy at -6.9799 eV/atom.

# 2
# YCrIn2

A relaxed structure of YCrIn2 (PBE, Alexandria).

a b c (Å): 10.060 10.060 10.060
angles (deg): 19.40 19.40 19.40
Fractional positions:
Cr 0.748 0.748 0.748
In 0.006 0.006 0.006
In 0.252 0.252 0.252
Y 0.493 0.493 0.493

The calculation puts the magnetization at 3.40 μB per cell. The formation energy comes out at 0.28 eV per atom. The density comes out at 6.26 g/cm3. The crystal system is trigonal.